No. 1
DFT (PBE-GGA) results for a relaxed structure of NaCr2In2.

Results
The calculation puts the calculated density at 6165 kg/m3. The value obtained for the energy relative to the elements is 395 meV/atom. The value obtained for the spin magnetization is 1.6 μB per formula unit.

Unit cell a=8.0218 b=8.0218 c=2.9855 alpha=90.00 beta=90.00 gamma=90.00
Closest atoms and distances in Å follow each position.
Positions (direct):
1 Na 0.0000 0.0000 0.0000  2 Na 2.99, 8 In 3.26
2 Na 0.5000 0.5000 0.0000  2 Na 2.99, 8 In 3.26
3 Cr 0.0873 0.4127 0.0000  1 Cr 1.98
4 Cr 0.4127 0.9127 0.0000  1 Cr 1.98
5 Cr 0.5873 0.0873 0.0000  1 Cr 1.98
6 Cr 0.9127 0.5873 0.0000  1 Cr 1.98
7 In 0.1970 0.6970 0.5000  6 Cr 2.86-2.87, 2 In 2.99
8 In 0.3030 0.1970 0.5000  6 Cr 2.86-2.87, 2 In 2.99
9 In 0.6970 0.8030 0.5000  6 Cr 2.86-2.87, 2 In 2.99
10 In 0.8030 0.3030 0.5000  6 Cr 2.86-2.87, 2 In 2.99

---

No. 2
DFT (PBE-GGA) results for a relaxed structure of CdOs2Cl.

Results
The calculation puts the uncorrected formation energy at 392 meV per atom. The value obtained for the energy above the most stable polymorph in this dataset is 150.5 meV per atom. The calculation puts the calculated density at 12302 kg/m3. The value obtained for the spin magnetization is 0.0 μB per formula unit.

Unit cell a=10.1877 b=10.1877 c=10.1877 alpha=16.15 beta=16.15 gamma=16.15
Closest atoms and distances in Å follow each position.
Positions (direct):
1 Cd 0.0000 0.0000 0.0000  6 Cd 2.86, 3 Os 3.02
2 Os 0.4838 0.4838 0.4838  9 Os 2.60-2.86, 3 Cl 2.62
3 Os 0.7506 0.7506 0.7506  9 Os 2.60-2.86
4 Cl 0.2179 0.2179 0.2179  3 Os 2.62, 6 Cl 2.86

---

No. 3
DFT (PBE-GGA) results for a relaxed structure of La2Nd3Mg2.

Results
The calculation puts the calculated density at 5482 kg/m3. The value obtained for the energy relative to the elements is 12 meV/atom. The value obtained for the spin magnetization is 0.0 μB per formula unit.

Unit cell a=15.7704 b=15.7704 c=3.7991 alpha=90.00 beta=90.00 gamma=165.92
Closest atoms and distances in Å follow each position.
Positions (direct):
1 La 0.2065 0.7935 0.0000  2 La 3.34, 4 Mg 3.40
2 La 0.7935 0.2065 0.0000  2 La 3.34, 4 Mg 3.40
3 Nd 0.0798 0.9202 0.0000  4 Mg 3.32, 4 Nd 3.69
4 Nd 0.5000 0.5000 0.5000  12 Nd 3.69-3.87
5 Nd 0.9202 0.0798 0.0000  4 Mg 3.32, 4 Nd 3.69
6 Mg 0.3592 0.6408 0.5000  4 Nd 3.32, 4 La 3.40
7 Mg 0.6408 0.3592 0.5000  4 Nd 3.32, 4 La 3.40

---

No. 4
DFT (PBE-GGA) results for a relaxed structure of CeTiAgPb.

Results
The calculation puts the calculated density at 8653 kg/m3. The value obtained for the energy relative to the elements is -51 meV/atom. The value obtained for the spin magnetization is 3.2 μB per formula unit.

Unit cell a=5.1491 b=5.1491 c=5.1491 alpha=60.00 beta=60.00 gamma=60.00
Closest atoms and distances in Å follow each position.
Positions (direct):
1 Ce 0.0000 0.0000 0.0000  4 Pb 3.15, 4 Ag 3.15
2 Ti 0.5000 0.5000 0.5000  4 Pb 3.15, 4 Ag 3.15
3 Ag 0.2500 0.2500 0.2500  4 Ti 3.15, 4 Ce 3.15
4 Pb 0.7500 0.7500 0.7500  4 Ti 3.15, 4 Ce 3.15

---

No. 5
DFT (PBE-GGA) results for a relaxed structure of PrGe2Sb.

Results
The calculation puts the uncorrected formation energy at -416 meV per atom. The calculation puts the calculated density at 7078 kg/m3. The value obtained for the spin magnetization is 0.0 μB per formula unit.

Unit cell a=4.6843 b=4.6843 c=4.3619 alpha=90.00 beta=90.00 gamma=90.00
Closest atoms and distances in Å follow each position.
Positions (direct):
1 Pr 0.0000 0.0000 0.0000  8 Ge 3.20, 4 Sb 3.31
2 Ge 0.0000 0.5000 0.5000  4 Sb 3.20, 4 Pr 3.20, 4 Ge 3.31
3 Ge 0.5000 0.0000 0.5000  4 Sb 3.20, 4 Pr 3.20, 4 Ge 3.31
4 Sb 0.5000 0.5000 0.0000  8 Ge 3.20, 4 Pr 3.31

---

No. 6
DFT (PBE-GGA) results for a relaxed structure of NaTlF2.

Results
The calculation puts the uncorrected formation energy at -2169 meV per atom. The value obtained for the energy above the most stable polymorph in this dataset is 24.1 meV per atom. The calculation puts the calculated density at 6388 kg/m3. The value obtained for the spin magnetization is 0.0 μB per formula unit.

Unit cell a=6.7020 b=6.7020 c=6.7020 alpha=30.56 beta=30.56 gamma=30.56
Closest atoms and distances in Å follow each position.
Positions (direct):
1 Na 0.0000 0.0000 0.0000  6 F 2.41-2.43
2 Tl 0.1689 0.1689 0.1689  6 F 2.77-2.80
3 F 0.4021 0.4021 0.4021  3 Na 2.43
4 F 0.6000 0.6000 0.6000  3 Na 2.41

---

No. 7
DFT (PBE-GGA) results for a relaxed structure of TlGa2Au.

Results
The value obtained for the energy above the most stable polymorph in this dataset is 31.6 meV per atom. The calculation puts the calculated density at 9292 kg/m3. The value obtained for the energy relative to the elements is -47 meV/atom. The value obtained for the spin magnetization is 0.0 μB per formula unit.

Unit cell a=7.5022 b=7.5022 c=7.5022 alpha=30.54 beta=30.54 gamma=30.54
Closest atoms and distances in Å follow each position.
Positions (direct):
1 Tl 0.0000 0.0000 0.0000  6 Ga 3.14-3.21
2 Ga 0.5664 0.5664 0.5664  3 Au 2.65
3 Ga 0.7719 0.7719 0.7719  3 Au 2.67
4 Au 0.1699 0.1699 0.1699  6 Ga 2.65-2.67

---

No. 8
DFT (PBE-GGA) results for a relaxed structure of CuNi3Ir.

Results
The value obtained for the energy above the most stable polymorph in this dataset is 1182.2 meV per atom. The calculation puts the calculated density at 9794 kg/m3. The value obtained for the energy relative to the elements is 1294 meV/atom. The value obtained for the spin magnetization is 2.8 μB per formula unit.

Unit cell a=4.1835 b=4.1835 c=4.1835 alpha=90.00 beta=90.00 gamma=90.00
Closest atoms and distances in Å follow each position.
Positions (direct):
1 Cu 0.0000 0.0000 0.0000  6 Ni 2.09
2 Ni 0.0000 0.0000 0.5000  2 Cu 2.09
3 Ni 0.0000 0.5000 0.0000  2 Cu 2.09
4 Ni 0.5000 0.0000 0.0000  2 Cu 2.09
5 Ir 0.5000 0.5000 0.5000  12 Ni 2.96

---

No. 9
DFT (PBE-GGA) results for a relaxed structure of Pm8P3S4.

Results
The calculation puts the uncorrected formation energy at -1742 meV per atom. The calculation puts the calculated density at 6047 kg/m3. The value obtained for the spin magnetization is 0.0 μB per formula unit.

Unit cell a=8.1192 b=8.1192 c=8.1177 alpha=119.89 beta=119.89 gamma=90.12
Closest atoms and distances in Å follow each position.
Positions (direct):
1 Pm 0.2435 0.2435 0.4912  4 S 2.83-2.89, 1 P 2.84
2 Pm 0.2467 0.2467 0.9967  2 S 2.85-2.90, 3 P 2.86-2.87
3 Pm 0.2466 0.7534 0.0000  3 S 2.83-2.88, 2 P 2.87
4 Pm 0.2476 0.7524 0.5000  3 P 2.85-2.88, 3 S 2.87-2.90
5 Pm 0.7524 0.2476 0.5000  3 P 2.85-2.88, 3 S 2.87-2.90
6 Pm 0.7534 0.2466 0.0000  3 S 2.83-2.88, 2 P 2.87
7 Pm 0.7533 0.7533 0.0033  2 S 2.85-2.90, 3 P 2.86-2.87
8 Pm 0.7565 0.7565 0.5088  4 S 2.83-2.89, 1 P 2.84
9 P 0.0000 0.0000 0.5000  6 Pm 2.84-2.86
10 P 0.0000 0.5000 0.0000  6 Pm 2.87-2.88
11 P 0.5000 0.0000 0.0000  6 Pm 2.87-2.88
12 S 0.0000 0.0000 0.0000  6 Pm 2.83-2.85
13 S 0.0000 0.5000 0.5000  6 Pm 2.87-2.88
14 S 0.5000 0.0000 0.5000  6 Pm 2.87-2.88
15 S 0.5000 0.5000 0.5000  6 Pm 2.89-2.90

---

No. 10
DFT (PBE-GGA) results for a relaxed structure of ReNi6Rh.

Results
The value obtained for the energy above the most stable polymorph in this dataset is 642.9 meV per atom. The calculation puts the calculated density at 8875 kg/m3. The value obtained for the energy relative to the elements is 644 meV/atom. The value obtained for the spin magnetization is 0.0 μB per formula unit.

Unit cell a=6.8956 b=6.8956 c=6.8956 alpha=39.61 beta=39.61 gamma=39.61
Closest atoms and distances in Å follow each position.
Positions (direct):
1 Re 0.0000 0.0000 0.0000  12 Ni 2.62
2 Ni 0.0581 0.5644 0.5644  5 Ni 2.31-2.37, 1 Rh 2.41
3 Ni 0.4356 0.4356 0.9419  5 Ni 2.31-2.37, 1 Rh 2.41
4 Ni 0.4356 0.9419 0.4356  5 Ni 2.31-2.37, 1 Rh 2.41
5 Ni 0.5644 0.0581 0.5644  5 Ni 2.31-2.37, 1 Rh 2.41
6 Ni 0.5644 0.5644 0.0581  5 Ni 2.31-2.37, 1 Rh 2.41
7 Ni 0.9419 0.4356 0.4356  5 Ni 2.31-2.37, 1 Rh 2.41
8 Rh 0.5000 0.5000 0.5000  6 Ni 2.41

---

No. 11
DFT (PBE-GGA) results for a relaxed structure of HfB2Ir2.

Results
The calculation puts the calculated density at 14828 kg/m3. The value obtained for the energy relative to the elements is -372 meV/atom. The value obtained for the spin magnetization is 0.0 μB per formula unit.

Unit cell a=5.1837 b=5.1837 c=5.1837 alpha=136.37 beta=136.37 gamma=63.41
Closest atoms and distances in Å follow each position.
Positions (direct):
1 Hf 0.0000 0.0000 0.0000  8 B 2.93, 10 Ir 3.01-3.13
2 B 0.2500 0.7500 0.5000  4 Ir 2.14
3 B 0.7500 0.2500 0.5000  4 Ir 2.14
4 Ir 0.3550 0.3550 0.0000  4 B 2.14
5 Ir 0.6450 0.6450 0.0000  4 B 2.14

---

No. 12
DFT (PBE-GGA) results for a relaxed structure of Na2Hg3Bi2.

Results
The value obtained for the energy above the most stable polymorph in this dataset is 0.0 meV per atom. The calculation puts the calculated density at 8627 kg/m3. The value obtained for the energy relative to the elements is -156 meV/atom. The value obtained for the spin magnetization is 0.0 μB per formula unit.

Unit cell a=5.5207 b=6.0473 c=6.5853 alpha=85.65 beta=76.24 gamma=73.88
Closest atoms and distances in Å follow each position.
Positions (direct):
1 Na 0.1072 0.2737 0.2392  6 Hg 3.30-3.65, 4 Bi 3.39-3.64
2 Na 0.8928 0.7263 0.7608  6 Hg 3.30-3.65, 4 Bi 3.39-3.64
3 Hg 0.3175 0.7296 0.0704  2 Hg 3.00-3.31, 3 Bi 3.18-3.32, 3 Na 3.30-3.35
4 Hg 0.5000 0.5000 0.5000  2 Bi 2.99, 2 Hg 3.31, 2 Na 3.34
5 Hg 0.6825 0.2704 0.9296  2 Hg 3.00-3.31, 3 Bi 3.18-3.32, 3 Na 3.30-3.35
6 Bi 0.2787 0.1174 0.7020  4 Hg 2.99-3.32, 1 Bi 3.26
7 Bi 0.7213 0.8826 0.2980  4 Hg 2.99-3.32, 1 Bi 3.26